(1)
Compound: Pu2PAu
Source: Alexandria
Functional: PBE
Structure: relaxed

* excess energy over the best structure of this formula in the dataset: 101 meV/atom
* SG: Fm-3m
* ρ: 13.3 Mg/m³
* energy of formation: -616 meV per atom
* calculated total energy: -9.9543 eV per atom

POSCAR file:
```
Pu2PAu
1.0
0.0000 3.5476 3.5476
3.5476 0.0000 3.5476
3.5476 3.5476 0.0000
Pu P Au
2 1 1
Cartesian
1.7738 1.7738 1.7738 Pu
5.3214 5.3214 5.3214 Pu
0.0000 0.0000 0.0000 P
3.5476 3.5476 3.5476 Au
```

***

(2)
Compound: Sr2AlIn
Source: Alexandria
Functional: PBE
Structure: relaxed

* excess energy over the best structure of this formula in the dataset: 179 meV/atom
* SG: Pmm2
* ρ: 3.8 Mg/m³
* energy of formation: -107 meV per atom
* calculated total energy: -2.5686 eV per atom

POSCAR file:
```
Sr2AlIn
1.0
3.7791 0.0000 0.0000
0.0000 3.8981 0.0000
0.0000 0.0000 9.3430
Sr Al In
2 1 1
Cartesian
0.0000 0.0000 0.0000 Sr
1.8896 1.9491 3.5014 Sr
0.0000 0.0000 5.6841 Al
1.8896 1.9491 7.0782 In
```

***

(3)
Compound: LaEuIn
Source: Alexandria
Functional: PBE
Structure: relaxed

* excess energy over the best structure of this formula in the dataset: 47 meV/atom
* SG: F-43m
* ρ: 5.8 Mg/m³
* energy of formation: -169 meV per atom
* calculated total energy: -6.1490 eV per atom

POSCAR file:
```
LaEuIn
1.0
0.0000 3.8750 3.8750
3.8750 0.0000 3.8750
3.8750 3.8750 0.0000
La Eu In
1 1 1
Cartesian
0.0000 0.0000 0.0000 La
3.8750 3.8750 3.8750 Eu
5.8125 5.8125 5.8125 In
```